PBE+U MgMn4Co2O12, relaxed; mass density = 4.227 Mg/m³; energy = -6.678 eV per atom; M_tot = 12.0 μB/f.u.
1.0
4.3092 -2.4867 0.0000
4.3092 2.4867 0.0000
-1.4685 0.0000 10.1537
Mg Mn Co O
1 4 2 12
direct
0.0000 0.0000 0.0000
0.3158 0.6266 0.7485
0.3734 0.6842 0.2515
0.7027 0.0197 0.2513
0.9803 0.2973 0.7487
0.0373 0.3546 0.2482
0.6454 0.9627 0.7518
0.0201 0.6836 0.1463
0.0536 0.0385 0.3443
0.2988 0.2776 0.6562
0.3164 0.9799 0.8537
0.3417 0.0020 0.1465
0.3850 0.3698 0.3439
0.6302 0.6150 0.6561
0.6763 0.3016 0.8535
0.6984 0.3237 0.1465
0.7224 0.7012 0.3438
0.9615 0.9464 0.6557
0.9980 0.6583 0.8535